Entry 1:
LaTb2NdY6: optimized geometry, PBE.

Values from the calculation:
Formation energy from the elements in eV per atom: 0.12
M_tot in μB/cell: 0.00
Total DFT energy (no corrections) in eV/atom: -5.654
Volume in A^3/atom: 33.53

Cell: 9.232 15.173 9.646 Å, 90.00 96.89 90.00°
Space group C2/c (No. 15)
Asymmetric unit:
La  0.000  0.029  0.250 [4 per cell]
Tb  0.246  0.052  0.550 [8 per cell]
Nd  0.000  0.409  0.750 [4 per cell]
Y  0.065  0.185  0.942 [8 per cell]
Y  0.096  0.391  0.115 [8 per cell]
Y  0.209  0.228  0.320 [8 per cell]

---

Entry 2:
ZrIr2SeI: optimized geometry, PBE.

Values from the calculation:
Formation energy without anion corrections in eV per formula unit: 5.3
M_tot in μB/cell: 0.01
Total DFT energy (no corrections) in eV/atom: -5.205
Volume in A^3/atom: 23.34

Cell: 4.590 4.590 5.539 Å, 90.00 90.00 90.00°
Space group P4/mmm (No. 123)
Asymmetric unit:
Zr  0.000  0.000  0.000 [1 per cell]
Ir  0.000  0.500  0.500 [2 per cell]
Se  0.500  0.500  0.500 [1 per cell]
I  0.500  0.500  0.000 [1 per cell]

---

Entry 3:
Zr4NiOs3: optimized geometry, PBE.

Values from the calculation:
Formation energy from the elements in eV per atom: -0.47
M_tot in μB/cell: 0.00
Total DFT energy (no corrections) in eV/atom: -9.681
Volume in A^3/atom: 17.60

Cell: 3.253 4.654 9.300 Å, 90.00 90.00 90.00°
Space group Pmmm (No. 47)
Asymmetric unit:
Zr  0.000  0.000  0.000 [1 per cell]
Zr  0.000  0.000  0.500 [1 per cell]
Zr  0.000  0.500  0.247 [2 per cell]
Ni  0.500  0.500  0.000 [1 per cell]
Os  0.500  0.000  0.249 [2 per cell]
Os  0.500  0.500  0.500 [1 per cell]

---

Entry 4:
CrSnMo2C: optimized geometry, PBE.

Values from the calculation:
Formation energy from the elements in eV per atom: 0.14
M_tot in μB/cell: 1.80
Total DFT energy (no corrections) in eV/atom: -8.767
Volume in A^3/atom: 14.43

Cell: 4.231 4.231 4.031 Å, 90.00 90.00 90.00°
Space group P4/mmm (No. 123)
Asymmetric unit:
Cr  0.000  0.000  0.000 [1 per cell]
Sn  0.500  0.500  0.000 [1 per cell]
Mo  0.000  0.500  0.500 [2 per cell]
C  0.000  0.000  0.500 [1 per cell]

---

Entry 5:
CaHo4Cu4: optimized geometry, PBE.

Values from the calculation:
Formation energy from the elements in eV per atom: -0.05
M_tot in μB/cell: 0.00
Total DFT energy (no corrections) in eV/atom: -4.126
Volume in A^3/atom: 25.66

Cell: 9.167 9.167 5.496 Å, 90.00 90.00 90.00°
Space group P4_2/n (No. 86, origin choice 2)
Asymmetric unit:
Ca  0.250  0.250  0.250 [2 per cell]
Ho  0.093  0.654  0.147 [8 per cell]
Cu  0.035  0.601  0.640 [8 per cell]

---

Entry 6:
HgBiF: optimized geometry, PBE.

Values from the calculation:
Formation energy without anion corrections in eV per formula unit: -2.2
M_tot in μB/cell: 0.00
Offset from the most stable computed form in meV/atom: 139.6
Total DFT energy (no corrections) in eV/atom: -2.738
Volume in A^3/atom: 23.05

Cell: 3.3588 3.3588 7.0773 Å, 90.00 90.00 120.00°
Space group P3m1 (No. 156)
Asymmetric unit:
Hg  0.0000  0.0000  0.0000 [1 per cell]
Bi  0.3333  0.6667  0.5821 [1 per cell]
F  0.6667  0.3333  0.3334 [1 per cell]

---

Entry 7:
Li2ZrPH: optimized geometry, PBE.

Values from the calculation:
M_tot in μB/cell: 0.00
Total DFT energy (no corrections) in eV/atom: -4.819
Volume in A^3/atom: 12.50

Cell: 3.828 3.828 4.264 Å, 90.00 90.00 90.00°
Space group P4/mmm (No. 123)
Asymmetric unit:
Li  0.000  0.500  0.000 [2 per cell]
Zr  0.000  0.000  0.500 [1 per cell]
P  0.500  0.500  0.500 [1 per cell]
H  0.000  0.000  0.000 [1 per cell]

---

Entry 8:
La2Pm6Nd3Mg: optimized geometry, PBE.

Values from the calculation:
Formation energy from the elements in eV per atom: 0.01
M_tot in μB/cell: 0.00
Total DFT energy (no corrections) in eV/atom: -4.507
Volume in A^3/atom: 34.14

Cell: 6.304 10.928 12.084 Å, 90.00 100.18 90.00°
Space group C2/m (No. 12)
Asymmetric unit:
La  0.000  0.168  0.000 [4 per cell]
Pm  0.247  0.335  0.249 [8 per cell]
Pm  0.247  0.500  0.749 [4 per cell]
Nd  0.000  0.000  0.500 [2 per cell]
Nd  0.000  0.333  0.500 [4 per cell]
Mg  0.000  0.500  0.000 [2 per cell]

---

Entry 9:
TbDyErCd: optimized geometry, PBE.

Values from the calculation:
Formation energy from the elements in eV per atom: -0.15
M_tot in μB/cell: 0.00
Offset from the most stable computed form in meV/atom: 0.0
Total DFT energy (no corrections) in eV/atom: -3.823
Volume in A^3/atom: 28.83

Cell: 3.571 3.571 9.043 Å, 90.00 90.00 90.00°
Space group P4mm (No. 99)
Asymmetric unit:
Tb  0.000  0.000  0.000 [1 per cell]
Dy  0.500  0.500  0.274 [1 per cell]
Er  0.000  0.000  0.544 [1 per cell]
Cd  0.500  0.500  0.768 [1 per cell]

---

Entry 10:
Zn5Ag5Au2: optimized geometry, PBE.

Values from the calculation:
Formation energy from the elements in eV per atom: -0.08
M_tot in μB/cell: 0.00
Total DFT energy (no corrections) in eV/atom: -2.348
Volume in A^3/atom: 16.57

Cell: 13.484 4.518 7.866 Å, 90.00 123.93 90.00°
Space group C2/m (No. 12)
Asymmetric unit:
Zn  0.000  0.000  0.000 [2 per cell]
Zn  0.077  0.000  0.392 [4 per cell]
Zn  0.239  0.000  0.213 [4 per cell]
Ag  0.000  0.500  0.500 [2 per cell]
Ag  0.082  0.500  0.925 [4 per cell]
Ag  0.179  0.500  0.360 [4 per cell]
Au  0.158  0.000  0.792 [4 per cell]

---

Entry 11:
EuHfI2: optimized geometry, PBE.

Values from the calculation:
Formation energy without anion corrections in eV per formula unit: -1.0
M_tot in μB/cell: 19.92
Total DFT energy (no corrections) in eV/atom: -6.080
Volume in A^3/atom: 32.93

Cell: 3.8078 3.8078 31.4657 Å, 90.00 90.00 120.00°
Space group R-3m (No. 166, hexagonal axes)
Asymmetric unit:
Eu  0.0000  0.0000  0.0000 [3 per cell]
Hf  0.0000  0.0000  0.5000 [3 per cell]
I  0.0000  0.0000  0.4091 [6 per cell]

---

Entry 12:
NaTiAl2: optimized geometry, PBE.

Values from the calculation:
Formation energy from the elements in eV per atom: 0.52
M_tot in μB/cell: 0.00
Offset from the most stable computed form in meV/atom: 326.5
Total DFT energy (no corrections) in eV/atom: -3.659
Volume in A^3/atom: 20.27

Cell: 7.402 7.402 5.920 Å, 90.00 90.00 90.00°
Space group I-42d (No. 122)
Asymmetric unit:
Na  0.000  0.000  0.000 [4 per cell]
Ti  0.000  0.000  0.500 [4 per cell]
Al  0.241  0.250  0.625 [8 per cell]

---

Entry 13:
Pr8Zn2Tc: optimized geometry, PBE.

Values from the calculation:
Formation energy from the elements in eV per atom: -0.04
M_tot in μB/cell: 0.00
Total DFT energy (no corrections) in eV/atom: -4.694
Volume in A^3/atom: 29.86

Cell: 18.078 5.233 7.112 Å, 90.00 102.47 90.00°
Space group C2/m (No. 12)
Asymmetric unit:
Pr  0.024  0.000  0.284 [4 per cell]
Pr  0.091  0.500  0.944 [4 per cell]
Pr  0.157  0.500  0.463 [4 per cell]
Pr  0.201  0.000  0.810 [4 per cell]
Zn  0.190  0.000  0.228 [4 per cell]
Tc  0.000  0.500  0.500 [2 per cell]

---

Entry 14:
Ca2CdFe: optimized geometry, PBE.

Values from the calculation:
Formation energy from the elements in eV per atom: 0.47
M_tot in μB/cell: 7.78
Total DFT energy (no corrections) in eV/atom: -2.871
Volume in A^3/atom: 26.72

Cell: 8.167 8.167 6.410 Å, 90.00 90.00 90.00°
Space group I-42d (No. 122)
Asymmetric unit:
Ca  0.225  0.250  0.125 [8 per cell]
Cd  0.000  0.000  0.500 [4 per cell]
Fe  0.000  0.000  0.000 [4 per cell]

---

Entry 15:
Ba2NiPPt6: optimized geometry, PBE.

Values from the calculation:
Formation energy from the elements in eV per atom: -0.61
M_tot in μB/cell: 0.01
Total DFT energy (no corrections) in eV/atom: -5.741
Volume in A^3/atom: 21.23

Cell: 6.5224 6.5224 17.2937 Å, 90.00 90.00 120.00°
Space group R-3m (No. 166, hexagonal axes)
Asymmetric unit:
Ba  0.0000  0.0000  0.2070 [6 per cell]
Ni  0.0000  0.0000  0.5000 [3 per cell]
P  0.0000  0.0000  0.0000 [3 per cell]
Pt  0.0595  0.5298  0.2847 [18 per cell]

---

Entry 16:
Na2CeAg2S4: optimized geometry, PBE.

Values from the calculation:
Formation energy without anion corrections in eV per formula unit: -9.3
M_tot in μB/cell: 0.00
Total DFT energy (no corrections) in eV/atom: -4.451
Volume in A^3/atom: 22.73

Cell: 15.057 4.075 7.564 Å, 90.00 118.16 90.00°
Space group C2/m (No. 12)
Asymmetric unit:
Na  0.151  0.000  0.048 [4 per cell]
Ce  0.000  0.000  0.500 [2 per cell]
Ag  0.173  0.500  0.458 [4 per cell]
S  0.014  0.500  0.760 [4 per cell]
S  0.208  0.000  0.709 [4 per cell]

---

Entry 17:
Li2Ca2DySn2: optimized geometry, PBE.

Values from the calculation:
Formation energy from the elements in eV per atom: -0.50
M_tot in μB/cell: 2.52
Total DFT energy (no corrections) in eV/atom: -3.415
Volume in A^3/atom: 26.41

Cell: 4.8335 4.8335 27.4153 Å, 90.00 90.00 120.00°
Space group R-3m (No. 166, hexagonal axes)
Asymmetric unit:
Li  0.0000  0.0000  0.1058 [6 per cell]
Ca  0.0000  0.0000  0.3725 [6 per cell]
Dy  0.0000  0.0000  0.5000 [3 per cell]
Sn  0.0000  0.0000  0.2338 [6 per cell]

---

Entry 18:
Pr2HoTlO: optimized geometry, PBE.

Values from the calculation:
Formation energy without anion corrections in eV per formula unit: -6.7
M_tot in μB/cell: 0.00
Total DFT energy (no corrections) in eV/atom: -5.622
Volume in A^3/atom: 24.34

Cell: 5.080 5.080 4.714 Å, 90.00 90.00 90.00°
Space group P4/mmm (No. 123)
Asymmetric unit:
Pr  0.000  0.500  0.000 [2 per cell]
Ho  0.000  0.000  0.500 [1 per cell]
Tl  0.500  0.500  0.500 [1 per cell]
O  0.000  0.000  0.000 [1 per cell]

---

Entry 19:
Zn2CrPt: optimized geometry, PBE.

Values from the calculation:
Formation energy from the elements in eV per atom: -0.15
M_tot in μB/cell: 6.66
Total DFT energy (no corrections) in eV/atom: -4.704
Volume in A^3/atom: 14.68

Cell: 8.865 2.845 4.732 Å, 90.00 100.27 90.00°
Space group C2/m (No. 12)
Asymmetric unit:
Zn  0.249  0.000  0.250 [4 per cell]
Cr  0.000  0.000  0.500 [2 per cell]
Pt  0.000  0.500  0.000 [2 per cell]

---

Entry 20:
SrCaPb2: optimized geometry, PBE.

Values from the calculation:
Formation energy from the elements in eV per atom: -0.23
M_tot in μB/cell: 0.00
Total DFT energy (no corrections) in eV/atom: -3.005
Volume in A^3/atom: 36.97

Cell: 4.155 4.155 8.566 Å, 90.00 90.00 90.00°
Space group P4mm (No. 99)
Asymmetric unit:
Sr  0.000  0.000  0.000 [1 per cell]
Ca  0.500  0.500  0.348 [1 per cell]
Pb  0.000  0.000  0.569 [1 per cell]
Pb  0.500  0.500  0.744 [1 per cell]

---

Entry 21:
K2TiCu2Se6: optimized geometry, PBE.

Values from the calculation:
Formation energy without anion corrections in eV per formula unit: -6.4
M_tot in μB/cell: 0.00
Total DFT energy (no corrections) in eV/atom: -4.141
Volume in A^3/atom: 27.67

Cell: 13.476 5.955 8.641 Å, 90.00 118.62 90.00°
Space group C2/m (No. 12)
Asymmetric unit:
K  0.199  0.000  0.184 [4 per cell]
Ti  0.000  0.000  0.500 [2 per cell]
Cu  0.106  0.500  0.306 [4 per cell]
Se  0.047  0.258  0.769 [8 per cell]
Se  0.207  0.000  0.601 [4 per cell]

---

Entry 22:
BeGeS2: optimized geometry, PBE.

Values from the calculation:
Formation energy without anion corrections in eV per formula unit: -0.3
M_tot in μB/cell: 0.00
Offset from the most stable computed form in meV/atom: 324.2
Total DFT energy (no corrections) in eV/atom: -4.230
Volume in A^3/atom: 16.45

Cell: 3.1543 3.1543 22.9094 Å, 90.00 90.00 120.00°
Space group R-3m (No. 166, hexagonal axes)
Asymmetric unit:
Be  0.0000  0.0000  0.0000 [3 per cell]
Ge  0.0000  0.0000  0.5000 [3 per cell]
S  0.0000  0.0000  0.3888 [6 per cell]

---

Entry 23:
LiCuP2S6: optimized geometry, PBE.

Values from the calculation:
Formation energy without anion corrections in eV per formula unit: -3.2
M_tot in μB/cell: 0.00
Total DFT energy (no corrections) in eV/atom: -4.475
Volume in A^3/atom: 21.22

Cell: 12.595 12.265 6.060 Å, 90.00 114.95 90.00°
Space group C2/c (No. 15)
Asymmetric unit:
Li  0.000  0.196  0.250 [4 per cell]
Cu  0.000  0.225  0.750 [4 per cell]
P  0.221  0.415  0.238 [8 per cell]
S  0.104  0.084  0.631 [8 per cell]
S  0.143  0.269  0.116 [8 per cell]
S  0.147  0.450  0.496 [8 per cell]

---

Entry 24:
GaCOF2: optimized geometry, PBE.

Values from the calculation:
Formation energy without anion corrections in eV per formula unit: -0.6
M_tot in μB/cell: 1.00
Offset from the most stable computed form in meV/atom: 0.0
Total DFT energy (no corrections) in eV/atom: -4.316
Volume in A^3/atom: 11.38

Cell: 3.829 3.829 3.882 Å, 90.00 90.00 90.00°
Space group P4/mmm (No. 123)
Asymmetric unit:
Ga  0.000  0.000  0.000 [1 per cell]
C  0.500  0.500  0.500 [1 per cell]
O  0.000  0.000  0.500 [1 per cell]
F  0.000  0.500  0.000 [2 per cell]